DFT (meta-GGA SCAN) results for a crystal of TlInPb2 relaxed with PBEsol.

Unit cell a=3.3514 b=6.2951 c=6.3723 alpha=117.29 beta=101.32 gamma=97.75
With the nearest neighbours (Å) after each atom.
Fractional coordinates of all 4 atoms:
Pb: 0.0000 0.0000 0.5000  2 Tl 3.30, 2 In 3.30, 4 Pb 3.35-3.36
Pb: 0.5000 0.5000 0.5000  2 In 3.30, 2 Tl 3.30, 4 Pb 3.35-3.36
Tl: 0.5000 0.0000 0.0000  4 Pb 3.30, 2 Tl 3.35, 2 In 3.36
In: 0.0000 0.5000 0.0000  4 Pb 3.30, 2 In 3.35, 2 Tl 3.36

Summary:
offset from the most stable computed form = 40 meV per atom
ΔE_f = 0.055 eV/atom
crystal system = monoclinic


DFT (meta-GGA SCAN) results for a crystal of TlInPb2 relaxed with PBEsol.

Unit cell a=3.5894 b=3.5894 c=8.7695 alpha=90.00 beta=90.00 gamma=90.00
With the nearest neighbours (Å) after each atom.
Fractional coordinates of all 4 atoms:
Pb: 0.0000 0.0000 0.9937  4 In 3.33, 8 Pb 3.39-3.59
Pb: 0.5000 0.5000 0.2496  8 Pb 3.39-3.59, 4 Tl 3.40
Tl: 0.0000 0.0000 0.5081  4 In 3.30, 4 Pb 3.40, 4 Tl 3.59
In: 0.5000 0.5000 0.7486  4 Tl 3.30, 4 Pb 3.33, 4 In 3.59

Summary:
offset from the most stable computed form = 17 meV per atom
ΔE_f = 0.032 eV/atom
crystal system = tetragonal


DFT (meta-GGA SCAN) results for a crystal of TlInPb2 relaxed with PBEsol.

Unit cell a=4.7809 b=4.7809 c=5.9916 alpha=113.51 beta=113.51 gamma=90.00
With the nearest neighbours (Å) after each atom.
Fractional coordinates of all 4 atoms:
Pb: 0.7500 0.2500 0.5000  4 Pb 3.38, 4 In 3.44, 4 Tl 3.44
Pb: 0.2500 0.7500 0.5000  4 Pb 3.38, 4 Tl 3.44, 4 In 3.44
Tl: 0.5000 0.5000 0.0000  4 In 3.38, 8 Pb 3.44
In: 0.0000 0.0000 0.0000  4 Tl 3.38, 8 Pb 3.44

Summary:
offset from the most stable computed form = 18 meV per atom
ΔE_f = 0.033 eV/atom
crystal system = tetragonal


DFT (meta-GGA SCAN) results for a crystal of TlInPb2 relaxed with PBEsol.

Unit cell a=3.4850 b=4.6701 c=6.9325 alpha=90.00 beta=90.03 gamma=90.00
With the nearest neighbours (Å) after each atom.
Fractional coordinates of all 4 atoms:
Pb: 0.9988 0.0000 0.7421  4 Pb 3.36-3.58, 4 In 3.36-3.37, 4 Tl 3.42
Pb: 0.0012 0.0000 0.2579  4 Pb 3.36-3.58, 4 In 3.36-3.37, 4 Tl 3.42
Tl: 0.5000 0.5000 0.0000  8 Pb 3.42, 2 In 3.47, 2 Tl 3.48
In: 0.5000 0.5000 0.5000  8 Pb 3.36-3.37, 2 Tl 3.47, 2 In 3.48

Summary:
offset from the most stable computed form = 10 meV per atom
ΔE_f = 0.025 eV/atom
crystal system = orthorhombic


DFT (meta-GGA SCAN) results for a crystal of TlInPb2 relaxed with PBEsol.

Unit cell a=5.4106 b=5.4106 c=5.4106 alpha=60.00 beta=60.00 gamma=60.00
With the nearest neighbours (Å) after each atom.
Fractional coordinates of all 4 atoms:
Pb: 0.2500 0.2500 0.2500  4 In 3.31, 4 Tl 3.31
Pb: 0.7500 0.7500 0.7500  4 Tl 3.31, 4 In 3.31
Tl: 0.5000 0.5000 0.5000  8 Pb 3.31
In: 0.0000 0.0000 0.0000  8 Pb 3.31

Summary:
offset from the most stable computed form = 38 meV per atom
ΔE_f = 0.053 eV/atom
crystal system = cubic


DFT (meta-GGA SCAN) results for a crystal of Tl2InPb relaxed with PBEsol.

Unit cell a=3.4064 b=3.4064 c=9.6941 alpha=90.00 beta=90.00 gamma=90.00
With the nearest neighbours (Å) after each atom.
Fractional coordinates of all 4 atoms:
Pb: 0.5000 0.5000 0.5000  4 Pb 3.41, 8 Tl 3.47
Tl: 0.0000 0.0000 0.7578  4 In 3.36, 4 Tl 3.41, 4 Pb 3.47
Tl: 0.0000 0.0000 0.2422  4 In 3.36, 4 Tl 3.41, 4 Pb 3.47
In: 0.5000 0.5000 0.0000  8 Tl 3.36, 4 In 3.41

Summary:
offset from the most stable computed form = 10 meV per atom
ΔE_f = 0.025 eV/atom
crystal system = tetragonal


DFT (meta-GGA SCAN) results for a crystal of TlIn2Pb relaxed with PBEsol.

Unit cell a=3.3389 b=5.9418 c=5.7761 alpha=97.92 beta=106.80 gamma=90.00
With the nearest neighbours (Å) after each atom.
Fractional coordinates of all 4 atoms:
Pb: 0.5015 0.5060 0.0029  7 In 3.32-3.44, 2 Pb 3.34, 3 Tl 3.35-3.43
Tl: 0.7490 0.2419 0.4979  7 In 3.29-3.47, 2 Tl 3.34, 3 Pb 3.35-3.43
In: 0.9984 0.9984 0.9967  3 Tl 3.29-3.38, 5 In 3.33-3.35, 4 Pb 3.37-3.44
In: 0.2512 0.7536 0.5024  3 Pb 3.32-3.38, 5 In 3.33-3.35, 4 Tl 3.35-3.47

Summary:
offset from the most stable computed form = 11 meV per atom
ΔE_f = 0.053 eV/atom
crystal system = monoclinic


DFT (meta-GGA SCAN) results for a crystal of Tl2InPb relaxed with PBEsol.

Unit cell a=4.8958 b=4.8958 c=5.7810 alpha=115.05 beta=115.05 gamma=90.00
With the nearest neighbours (Å) after each atom.
Fractional coordinates of all 4 atoms:
Pb: 0.2500 0.7500 0.5000  8 Tl 3.37-3.46, 4 In 3.37
Tl: 0.0000 0.0000 0.0000  4 Tl 3.37, 4 Pb 3.37, 4 In 3.46
Tl: 0.7500 0.2500 0.5000  4 Tl 3.37, 4 In 3.37, 4 Pb 3.46
In: 0.5000 0.5000 0.0000  4 Pb 3.37, 8 Tl 3.37-3.46

Summary:
offset from the most stable computed form = 15 meV per atom
ΔE_f = 0.030 eV/atom
crystal system = tetragonal


DFT (meta-GGA SCAN) results for a crystal of TlInPb2 relaxed with PBEsol.

Unit cell a=3.3364 b=3.3364 c=11.5821 alpha=90.00 beta=90.00 gamma=117.97
With the nearest neighbours (Å) after each atom.
Fractional coordinates of all 4 atoms:
Pb: 0.0000 0.0000 0.2448  2 In 3.32, 6 Pb 3.34-3.44, 2 Tl 3.42
Pb: 0.0000 0.0000 0.7552  2 In 3.32, 6 Pb 3.34-3.44, 2 Tl 3.42
Tl: 0.5000 0.5000 0.5000  6 Tl 3.34-3.44, 4 Pb 3.42
In: 0.5000 0.5000 0.0000  4 Pb 3.32, 6 In 3.34-3.44

Summary:
offset from the most stable computed form = 33 meV per atom
ΔE_f = 0.048 eV/atom
crystal system = orthorhombic


DFT (meta-GGA SCAN) results for a crystal of TlInPb2 relaxed with PBEsol.

Unit cell a=3.3337 b=5.6433 c=6.0037 alpha=90.00 beta=90.02 gamma=90.00
With the nearest neighbours (Å) after each atom.
Fractional coordinates of all 4 atoms:
Pb: 0.8722 0.0000 0.9687  4 Pb 3.33-3.38, 4 Tl 3.41-3.46, 4 In 3.46-3.48
Pb: 0.8766 0.5000 0.2779  4 Pb 3.33-3.38, 4 In 3.42-3.45, 4 Tl 3.47-3.49
Tl: 0.3723 0.0000 0.4731  2 Tl 3.33, 2 In 3.37, 8 Pb 3.41-3.49
In: 0.3789 0.5000 0.7804  2 In 3.33, 2 Tl 3.37, 8 Pb 3.42-3.48

Summary:
offset from the most stable computed form = 27 meV per atom
ΔE_f = 0.042 eV/atom
crystal system = monoclinic


DFT (meta-GGA SCAN) results for a crystal of TlInPb2 relaxed with PBEsol.

Unit cell a=3.4465 b=3.4465 c=11.3147 alpha=81.24 beta=81.24 gamma=60.00
With the nearest neighbours (Å) after each atom.
Fractional coordinates of all 4 atoms:
Pb: 0.9983 0.9983 0.0050  3 In 3.39, 9 Pb 3.45-3.47
Pb: 0.7501 0.7501 0.7497  9 Pb 3.45-3.47, 3 Tl 3.47
Tl: 0.5019 0.5019 0.4943  3 In 3.36, 6 Tl 3.45, 3 Pb 3.47
In: 0.2497 0.2497 0.2510  3 Tl 3.36, 3 Pb 3.39, 6 In 3.45

Summary:
offset from the most stable computed form = 8 meV per atom
ΔE_f = 0.023 eV/atom
crystal system = trigonal


DFT (meta-GGA SCAN) results for a crystal of Tl2InPb relaxed with PBEsol.

Unit cell a=3.3141 b=6.3987 c=6.3076 alpha=117.10 beta=99.37 gamma=101.36
With the nearest neighbours (Å) after each atom.
Fractional coordinates of all 4 atoms:
Pb: 0.5000 0.0000 0.0000  2 In 3.30, 2 Pb 3.31, 4 Tl 3.32
Tl: 0.5000 0.5000 0.5000  4 Tl 3.30-3.31, 2 Pb 3.32, 2 In 3.32
Tl: 0.0000 0.0000 0.5000  4 Tl 3.30-3.31, 2 In 3.32, 2 Pb 3.32
In: 0.0000 0.5000 0.0000  2 Pb 3.30, 2 In 3.31, 4 Tl 3.32

Summary:
offset from the most stable computed form = 29 meV per atom
ΔE_f = 0.045 eV/atom
crystal system = monoclinic